This record from Alexandria describes an optimized crystal structure of MnPdN. The functional is GGA-PBE.

Symmetry: Pmm2, No. 25

```
data_MnPdN
_chemical_formula_sum 'Mn1 Pd1 N1'
_cell_length_a 2.914
_cell_length_b 3.084
_cell_length_c 4.251
_cell_angle_alpha 90.00
_cell_angle_beta 90.00
_cell_angle_gamma 90.00
_symmetry_space_group_name_H-M 'P 1'
_symmetry_Int_Tables_number 1
loop_
_symmetry_equiv_pos_as_xyz
'x,y,z'
loop_
_atom_site_label
_atom_site_type_symbol
_atom_site_fract_x
_atom_site_fract_y
_atom_site_fract_z
Mn1 Mn 0.000 0.000 0.000
Pd1 Pd 0.500 0.500 0.409
N1 N 0.500 0.000 0.760
```


This record from Alexandria describes an optimized crystal structure of MnPdN. The functional is GGA-PBE.

Symmetry: R3m, No. 160

```
data_MnPdN
_chemical_formula_sum 'Mn3 Pd3 N3'
_cell_length_a 2.941
_cell_length_b 2.941
_cell_length_c 14.687
_cell_angle_alpha 90.00
_cell_angle_beta 90.00
_cell_angle_gamma 120.00
_symmetry_space_group_name_H-M 'P 1'
_symmetry_Int_Tables_number 1
loop_
_symmetry_equiv_pos_as_xyz
'x,y,z'
loop_
_atom_site_label
_atom_site_type_symbol
_atom_site_fract_x
_atom_site_fract_y
_atom_site_fract_z
Mn1 Mn 0.000 0.000 0.000
Mn2 Mn 0.333 0.667 0.667
Mn3 Mn 0.667 0.333 0.333
Pd1 Pd 0.000 0.000 0.480
Pd2 Pd 0.333 0.667 0.147
Pd3 Pd 0.667 0.333 0.813
N1 N 0.000 0.000 0.621
N2 N 0.333 0.667 0.287
N3 N 0.667 0.333 0.954
```


This record from Alexandria describes an optimized crystal structure of MnPdN. The functional is GGA-PBE.

Symmetry: Imm2, No. 44

```
data_MnPdN
_chemical_formula_sum 'Mn2 Pd2 N2'
_cell_length_a 2.878
_cell_length_b 3.013
_cell_length_c 8.976
_cell_angle_alpha 90.00
_cell_angle_beta 90.00
_cell_angle_gamma 90.00
_symmetry_space_group_name_H-M 'P 1'
_symmetry_Int_Tables_number 1
loop_
_symmetry_equiv_pos_as_xyz
'x,y,z'
loop_
_atom_site_label
_atom_site_type_symbol
_atom_site_fract_x
_atom_site_fract_y
_atom_site_fract_z
Mn1 Mn 0.000 0.000 0.000
Mn2 Mn 0.500 0.500 0.500
Pd1 Pd 0.000 0.000 0.299
Pd2 Pd 0.500 0.500 0.799
N1 N 0.000 0.500 0.614
N2 N 0.500 0.000 0.114
```


This record from Alexandria describes an optimized crystal structure of MnPdN. The functional is GGA-PBE.

Symmetry: Pmmn, No. 59

```
data_MnPdN
_chemical_formula_sum 'Mn2 Pd2 N2'
_cell_length_a 3.092
_cell_length_b 4.153
_cell_length_c 5.664
_cell_angle_alpha 90.00
_cell_angle_beta 90.00
_cell_angle_gamma 90.00
_symmetry_space_group_name_H-M 'P 1'
_symmetry_Int_Tables_number 1
loop_
_symmetry_equiv_pos_as_xyz
'x,y,z'
loop_
_atom_site_label
_atom_site_type_symbol
_atom_site_fract_x
_atom_site_fract_y
_atom_site_fract_z
Mn1 Mn 0.250 0.250 0.124
Mn2 Mn 0.750 0.750 0.876
Pd1 Pd 0.250 0.750 0.461
Pd2 Pd 0.750 0.250 0.539
N1 N 0.250 0.750 0.082
N2 N 0.750 0.250 0.918
```


Per-record excess energy over the best structure of this formula in the dataset, eV/f.u.: 0.94 0.04 1.05 0.43
Per-record formation energy (no corrections), meV/atom: 190 -111 228 19
Per-record electronic total energy, eV per atom: -7.3726 -7.6734 -7.3345 -7.5439